1.
Material: In2I3
Method: DFT, GGA-PBE
State: optimized geometry

Properties
Space-group type = No. 43

Structure (CIF):
```
data_In2I3
_chemical_formula_sum 'In4 I6'
_space_group_name_H-M_alt 'P 1'
_space_group_IT_number 1
_cell_length_a 9.2228
_cell_length_b 8.2008
_cell_length_c 8.5295
_cell_angle_alpha 72.30
_cell_angle_beta 57.27
_cell_angle_gamma 55.78
loop_
_space_group_symop_operation_xyz
'x,y,z'
loop_
_atom_site_label
_atom_site_type_symbol
_atom_site_fract_x
_atom_site_fract_y
_atom_site_fract_z
I1 I 0.5238 0.8170 0.5989
I2 I 0.9397 0.1830 0.4011
I3 I 0.5908 0.6830 0.0989
I4 I 0.8733 0.0000 0.0000
I5 I 0.3727 0.3170 0.9011
I6 I 0.1233 0.5000 0.5000
In1 In 0.9264 0.5928 0.2176
In2 In 0.7692 0.9072 0.7176
In3 In 0.3940 0.0928 0.2824
In4 In 0.7367 0.4072 0.7824
```


2.
Material: In2I3
Method: DFT, GGA-PBE
State: optimized geometry

Properties
Space-group type = No. 15

Structure (CIF):
```
data_In2I3
_chemical_formula_sum 'In4 I6'
_space_group_name_H-M_alt 'P 1'
_space_group_IT_number 1
_cell_length_a 7.9464
_cell_length_b 7.9263
_cell_length_c 9.0643
_cell_angle_alpha 64.01
_cell_angle_beta 64.00
_cell_angle_gamma 59.92
loop_
_space_group_symop_operation_xyz
'x,y,z'
loop_
_atom_site_label
_atom_site_type_symbol
_atom_site_fract_x
_atom_site_fract_y
_atom_site_fract_z
I1 I 0.4232 0.0766 0.2499
I2 I 0.9252 0.2500 0.7500
I3 I 0.5768 0.9234 0.7501
I4 I 0.7497 0.4234 0.2501
I5 I 0.0748 0.7500 0.2500
I6 I 0.2503 0.5766 0.7499
In1 In 0.1611 0.1611 0.0170
In2 In 0.3392 0.3389 0.4830
In3 In 0.6608 0.6611 0.5170
In4 In 0.8389 0.8389 0.9830
```


2 is the most stable structure; the next one sits 0.5 kJ/mol of atoms above it.


1.
Material: In2Ir2I
Method: DFT, GGA-PBE
State: optimized geometry

Properties
Space-group type = No. 127

Structure (CIF):
```
data_In2Ir2I
_chemical_formula_sum 'In4 Ir4 I2'
_space_group_name_H-M_alt 'P 1'
_space_group_IT_number 1
_cell_length_a 7.8956
_cell_length_b 7.8956
_cell_length_c 3.2011
_cell_angle_alpha 90.00
_cell_angle_beta 90.00
_cell_angle_gamma 90.00
loop_
_space_group_symop_operation_xyz
'x,y,z'
loop_
_atom_site_label
_atom_site_type_symbol
_atom_site_fract_x
_atom_site_fract_y
_atom_site_fract_z
I1 I 0.0000 0.0000 0.0000
I2 I 0.5000 0.5000 0.0000
Ir1 Ir 0.8459 0.6541 0.0000
Ir2 Ir 0.6541 0.1541 0.0000
Ir3 Ir 0.3459 0.8459 0.0000
Ir4 Ir 0.1541 0.3459 0.0000
In1 In 0.3578 0.1422 0.5000
In2 In 0.1422 0.6422 0.5000
In3 In 0.6422 0.8578 0.5000
In4 In 0.8578 0.3578 0.5000
```


2.
Material: In2Ir2I
Method: DFT, GGA-PBE
State: optimized geometry

Properties
Space-group type = No. 139

Structure (CIF):
```
data_In2Ir2I
_chemical_formula_sum 'In2 Ir2 I1'
_space_group_name_H-M_alt 'P 1'
_space_group_IT_number 1
_cell_length_a 4.4416
_cell_length_b 4.4416
_cell_length_c 6.5184
_cell_angle_alpha 70.08
_cell_angle_beta 70.08
_cell_angle_gamma 90.00
loop_
_space_group_symop_operation_xyz
'x,y,z'
loop_
_atom_site_label
_atom_site_type_symbol
_atom_site_fract_x
_atom_site_fract_y
_atom_site_fract_z
In1 In 0.2500 0.7500 0.5000
In2 In 0.7500 0.2500 0.5000
Ir1 Ir 0.6120 0.6120 0.7761
Ir2 Ir 0.3880 0.3880 0.2239
I1 I 0.0000 0.0000 0.0000
```


1 is the most stable structure; the next one sits 16.5 kJ/mol of atoms above it.


1.
Material: InIrIN2
Method: DFT, GGA-PBE
State: optimized geometry

Properties
Space-group type = No. 123

Structure (CIF):
```
data_InIrIN2
_chemical_formula_sum 'In1 Ir1 I1 N2'
_space_group_name_H-M_alt 'P 1'
_space_group_IT_number 1
_cell_length_a 3.9518
_cell_length_b 3.9518
_cell_length_c 7.5264
_cell_angle_alpha 90.00
_cell_angle_beta 90.00
_cell_angle_gamma 90.00
loop_
_space_group_symop_operation_xyz
'x,y,z'
loop_
_atom_site_label
_atom_site_type_symbol
_atom_site_fract_x
_atom_site_fract_y
_atom_site_fract_z
Ir1 Ir 0.0000 0.0000 0.0000
N1 N 0.5000 0.0000 0.0000
N2 N 0.0000 0.5000 0.0000
In1 In 0.5000 0.5000 0.5000
I1 I 0.0000 0.0000 0.5000
```


2.
Material: InIrIN2
Method: DFT, GGA-PBE
State: optimized geometry

Properties
Space-group type = No. 123

Structure (CIF):
```
data_InIrIN2
_chemical_formula_sum 'In1 Ir1 I1 N2'
_space_group_name_H-M_alt 'P 1'
_space_group_IT_number 1
_cell_length_a 4.1211
_cell_length_b 4.1211
_cell_length_c 6.6052
_cell_angle_alpha 90.00
_cell_angle_beta 90.00
_cell_angle_gamma 90.00
loop_
_space_group_symop_operation_xyz
'x,y,z'
loop_
_atom_site_label
_atom_site_type_symbol
_atom_site_fract_x
_atom_site_fract_y
_atom_site_fract_z
N1 N 0.5000 0.0000 0.0000
N2 N 0.0000 0.5000 0.0000
In1 In 0.0000 0.0000 0.0000
Ir1 Ir 0.5000 0.5000 0.5000
I1 I 0.0000 0.0000 0.5000
```


1 is the most stable structure; the next one sits 96.3 kJ/mol of atoms above it.


1.
Material: InTeIrI2
Method: DFT, GGA-PBE
State: optimized geometry

Properties
Space-group type = No. 123

Structure (CIF):
```
data_InTeIrI2
_chemical_formula_sum 'In1 Te1 Ir1 I2'
_space_group_name_H-M_alt 'P 1'
_space_group_IT_number 1
_cell_length_a 5.9927
_cell_length_b 5.2432
_cell_length_c 5.9927
_cell_angle_alpha 90.00
_cell_angle_beta 90.00
_cell_angle_gamma 90.00
loop_
_space_group_symop_operation_xyz
'x,y,z'
loop_
_atom_site_label
_atom_site_type_symbol
_atom_site_fract_x
_atom_site_fract_y
_atom_site_fract_z
In1 In 0.0000 0.0000 0.0000
I1 I 0.0000 0.0000 0.5000
I2 I 0.5000 0.0000 0.0000
Te1 Te 0.5000 0.5000 0.5000
Ir1 Ir 0.0000 0.5000 0.0000
```


2.
Material: InTeIrI2
Method: DFT, GGA-PBE
State: optimized geometry

Properties
Space-group type = No. 123

Structure (CIF):
```
data_InTeIrI2
_chemical_formula_sum 'In1 Te1 Ir1 I2'
_space_group_name_H-M_alt 'P 1'
_space_group_IT_number 1
_cell_length_a 5.7187
_cell_length_b 5.7187
_cell_length_c 5.0776
_cell_angle_alpha 90.00
_cell_angle_beta 90.00
_cell_angle_gamma 90.00
loop_
_space_group_symop_operation_xyz
'x,y,z'
loop_
_atom_site_label
_atom_site_type_symbol
_atom_site_fract_x
_atom_site_fract_y
_atom_site_fract_z
In1 In 0.5000 0.5000 0.5000
I1 I 0.5000 0.0000 0.0000
I2 I 0.0000 0.5000 0.0000
Ir1 Ir 0.0000 0.0000 0.0000
Te1 Te 0.0000 0.0000 0.5000
```


2 is the most stable structure; the next one sits 89.3 kJ/mol of atoms above it.


1.
Material: KIn6I8
Method: DFT, GGA-PBE
State: optimized geometry

Properties
Space-group type = No. 148

Structure (CIF):
```
data_KIn6I8
_chemical_formula_sum 'K1 In6 I8'
_space_group_name_H-M_alt 'P 1'
_space_group_IT_number 1
_cell_length_a 8.7389
_cell_length_b 8.7389
_cell_length_c 8.7389
_cell_angle_alpha 90.67
_cell_angle_beta 90.67
_cell_angle_gamma 90.67
loop_
_space_group_symop_operation_xyz
'x,y,z'
loop_
_atom_site_label
_atom_site_type_symbol
_atom_site_fract_x
_atom_site_fract_y
_atom_site_fract_z
K1 K 0.0000 0.0000 0.0000
In1 In 0.4044 0.5718 0.2310
In2 In 0.5718 0.2310 0.4044
In3 In 0.2310 0.4044 0.5718
In4 In 0.4282 0.7690 0.5956
In5 In 0.5956 0.4282 0.7690
In6 In 0.7690 0.5956 0.4282
I1 I 0.6320 0.9111 0.2725
I2 I 0.3680 0.0889 0.7275
I3 I 0.9111 0.2725 0.6320
I4 I 0.7652 0.7652 0.7652
I5 I 0.0889 0.7275 0.3680
I6 I 0.2348 0.2348 0.2348
I7 I 0.7275 0.3680 0.0889
I8 I 0.2725 0.6320 0.9111
```


2.
Material: KIn6I8
Method: DFT, GGA-PBE
State: optimized geometry

Properties
Space-group type = No. 147

Structure (CIF):
```
data_KIn6I8
_chemical_formula_sum 'K1 In6 I8'
_space_group_name_H-M_alt 'P 1'
_space_group_IT_number 1
_cell_length_a 5.1141
_cell_length_b 12.0279
_cell_length_c 12.0279
_cell_angle_alpha 120.00
_cell_angle_beta 90.00
_cell_angle_gamma 90.00
loop_
_space_group_symop_operation_xyz
'x,y,z'
loop_
_atom_site_label
_atom_site_type_symbol
_atom_site_fract_x
_atom_site_fract_y
_atom_site_fract_z
In1 In 0.2515 0.3373 0.8672
In2 In 0.7485 0.6627 0.1328
In3 In 0.2515 0.1328 0.4701
In4 In 0.7485 0.8672 0.5299
In5 In 0.2515 0.5299 0.6627
In6 In 0.7485 0.4701 0.3373
I1 I 0.7496 0.9721 0.2765
I2 I 0.7493 0.3333 0.6667
I3 I 0.2504 0.2765 0.3044
I4 I 0.2504 0.6956 0.9721
I5 I 0.7496 0.7235 0.6956
I6 I 0.2507 0.6667 0.3333
I7 I 0.2504 0.0279 0.7235
I8 I 0.7496 0.3044 0.0279
K1 K 0.5000 0.0000 0.0000
```


2 is the most stable structure; the next one sits 2.6 kJ/mol of atoms above it.


1.
Material: K2InI
Method: DFT, GGA-PBE
State: optimized geometry

Properties
Space-group type = No. 225

Structure (CIF):
```
data_K2InI
_chemical_formula_sum 'K2 In1 I1'
_space_group_name_H-M_alt 'P 1'
_space_group_IT_number 1
_cell_length_a 6.2324
_cell_length_b 6.2324
_cell_length_c 6.2324
_cell_angle_alpha 60.00
_cell_angle_beta 60.00
_cell_angle_gamma 60.00
loop_
_space_group_symop_operation_xyz
'x,y,z'
loop_
_atom_site_label
_atom_site_type_symbol
_atom_site_fract_x
_atom_site_fract_y
_atom_site_fract_z
K1 K 0.7500 0.7500 0.7500
K2 K 0.2500 0.2500 0.2500
I1 I 0.5000 0.5000 0.5000
In1 In 0.0000 0.0000 0.0000
```


2.
Material: K2InI
Method: DFT, GGA-PBE
State: optimized geometry

Properties
Space-group type = No. 122

Structure (CIF):
```
data_K2InI
_chemical_formula_sum 'K4 In2 I2'
_space_group_name_H-M_alt 'P 1'
_space_group_IT_number 1
_cell_length_a 9.6809
_cell_length_b 9.6809
_cell_length_c 7.9175
_cell_angle_alpha 52.31
_cell_angle_beta 52.31
_cell_angle_gamma 90.00
loop_
_space_group_symop_operation_xyz
'x,y,z'
loop_
_atom_site_label
_atom_site_type_symbol
_atom_site_fract_x
_atom_site_fract_y
_atom_site_fract_z
K1 K 0.1023 0.6250 0.2500
K2 K 0.3750 0.3523 0.7500
K3 K 0.6477 0.1250 0.2500
K4 K 0.8750 0.8977 0.7500
I1 I 0.7500 0.2500 0.5000
I2 I 0.0000 0.0000 0.0000
In1 In 0.2500 0.7500 0.5000
In2 In 0.5000 0.5000 0.0000
```


2 is the most stable structure; the next one sits 6.4 kJ/mol of atoms above it.